Record 1
Here is a relaxed YNi2Br crystal from the Alexandria database. Energies are from PBE.

## Properties
E	-20.32	eV per formula unit
theoretical density	5.45	g/cm³
formation energy from raw total energies	-0.16	eV/atom
V	21.79	A^3/atom
polymorph energy (0 for the lowest one)	317	meV per atom

Unit cell a=9.4825 b=3.6053 c=5.1518 alpha=90.00 beta=98.17 gamma=90.00
Space group C2/m (No. 12)
Unique sites:
1 Y 0.0000 0.0000 0.0000 x2
2 Ni 0.1992 0.5000 0.8689 x4
3 Br 0.0000 0.5000 0.5000 x2

Record 2
Here is a relaxed Sc3TiO6 crystal from the Alexandria database. Energies are from PBE.

## Properties
E	-90.05	eV per formula unit
theoretical density	3.89	g/cm³
formation energy from raw total energies	-3.34	eV/atom
V	11.89	A^3/atom

Unit cell a=8.9489 b=8.9489 c=10.2866 alpha=90.00 beta=90.00 gamma=120.00
Space group R-3 (No. 148, hexagonal axes)
Unique sites:
1 Sc 0.0420 0.7754 0.2038 x18
2 Ti 0.0000 0.0000 0.0000 x3
3 Ti 0.0000 0.0000 0.5000 x3
4 O 0.0252 0.8133 0.4009 x18
5 O 0.0273 0.8390 0.8772 x18

Record 3
Here is a relaxed PrHf2NiN4 crystal from the Alexandria database. Energies are from PBE.

## Properties
E	-74.36	eV per formula unit
theoretical density	10.21	g/cm³
formation energy from raw total energies	-1.32	eV/atom
V	12.45	A^3/atom

Unit cell a=3.2614 b=10.9960 c=11.1128 alpha=90.00 beta=90.00 gamma=90.00
Space group Cmcm (No. 63)
Unique sites:
1 Pr 0.0000 0.1073 0.2500 x4
2 Hf 0.0000 0.3670 0.0554 x8
3 Ni 0.0000 0.1565 0.7500 x4
4 N 0.0000 0.0000 0.0000 x4
5 N 0.0000 0.2656 0.6091 x8
6 N 0.0000 0.4393 0.2500 x4

Record 4
Here is a relaxed YInAgGe2 crystal from the Alexandria database. Energies are from PBE.

## Properties
E	-19.66	eV per formula unit
theoretical density	5.64	g/cm³
formation enthalpy at 0 K	326	meV per atom
V	26.92	A^3/atom

Unit cell a=4.9021 b=4.9021 c=5.6003 alpha=90.00 beta=90.00 gamma=90.00
Space group P4/mmm (No. 123)
Unique sites:
1 Y 0.0000 0.0000 0.0000 x1
2 In 0.5000 0.5000 0.0000 x1
3 Ag 0.0000 0.0000 0.5000 x1
4 Ge 0.0000 0.5000 0.5000 x2

Record 5
Here is a relaxed Y2SbIr crystal from the Alexandria database. Energies are from PBE.

## Properties
E	-29.50	eV per formula unit
theoretical density	8.34	g/cm³
formation energy from raw total energies	-0.90	eV/atom
V	24.48	A^3/atom

Unit cell a=4.2993 b=4.0698 c=11.1909 alpha=90.00 beta=90.00 gamma=90.00
Space group Amm2 (No. 38)
Unique sites:
1 Y 0.0000 0.0000 0.0000 x2
2 Y 0.5000 0.0000 0.2917 x2
3 Sb 0.0000 0.0000 0.7158 x2
4 Ir 0.5000 0.0000 0.5462 x2

Record 6
Here is a relaxed CdCu2Au crystal from the Alexandria database. Energies are from PBE.

## Properties
E	-12.39	eV per formula unit
theoretical density	11.57	g/cm³
formation enthalpy at 0 K	0	meV per atom
V	15.66	A^3/atom

Unit cell a=6.0192 b=7.0754 c=2.9416 alpha=90.00 beta=90.00 gamma=90.00
Space group Cmmm (No. 65)
Unique sites:
1 Cd 0.0000 0.0000 0.0000 x2
2 Cu 0.2500 0.2500 0.5000 x4
3 Au 0.0000 0.5000 0.0000 x2

Record 7
Here is a relaxed PrErSbTe crystal from the Alexandria database. Energies are from PBE.

## Properties
E	-21.61	eV per formula unit
theoretical density	7.38	g/cm³
formation energy from raw total energies	-1.25	eV/atom
V	31.38	A^3/atom

Unit cell a=4.3533 b=4.3533 c=22.9444 alpha=90.00 beta=90.00 gamma=120.00
Space group R3m (No. 160, hexagonal axes)
Unique sites:
1 Pr 0.0000 0.0000 0.0000 x3
2 Er 0.0000 0.0000 0.1772 x3
3 Sb 0.0000 0.0000 0.5825 x3
4 Te 0.0000 0.0000 0.7606 x3

Record 8
Here is a relaxed KHfAu2 crystal from the Alexandria database. Energies are from PBE.

## Properties
E	-18.86	eV per formula unit
theoretical density	10.33	g/cm³
formation enthalpy at 0 K	-314	meV per atom
V	24.57	A^3/atom
polymorph energy (0 for the lowest one)	0	meV per atom

Unit cell a=3.4735 b=3.4735 c=8.1461 alpha=90.00 beta=90.00 gamma=90.00
Space group P4/mmm (No. 123)
Unique sites:
1 K 0.0000 0.0000 0.0000 x1
2 Hf 0.0000 0.0000 0.5000 x1
3 Au 0.5000 0.5000 0.3181 x2

Record 9
Here is a relaxed Ac2GaCu3Pt4 crystal from the Alexandria database. Energies are from PBE.

## Properties
E	-54.53	eV per formula unit
theoretical density	12.55	g/cm³
formation enthalpy at 0 K	-684	meV per atom
V	19.77	A^3/atom

Unit cell a=4.2610 b=4.2610 c=10.8884 alpha=90.00 beta=90.00 gamma=90.00
Space group P-4m2 (No. 115)
Unique sites:
1 Ac 0.0000 0.5000 0.2355 x2
2 Ga 0.0000 0.0000 0.5000 x1
3 Cu 0.0000 0.5000 0.8646 x2
4 Cu 0.5000 0.5000 0.5000 x1
5 Pt 0.0000 0.0000 0.0000 x1
6 Pt 0.0000 0.5000 0.6326 x2
7 Pt 0.5000 0.5000 0.0000 x1

Record 10
Here is a relaxed Ca3GeBr2 crystal from the Alexandria database. Energies are from PBE.

## Properties
E	-21.43	eV per formula unit
theoretical density	3.33	g/cm³
formation energy from raw total energies	-1.24	eV/atom
V	29.27	A^3/atom

Unit cell a=8.8344 b=6.0952 c=13.0466 alpha=90.00 beta=90.00 gamma=90.00
Space group Pnma (No. 62)
Unique sites:
1 Ca 0.1005 0.2500 0.0742 x4
2 Ca 0.1250 0.2500 0.7481 x4
3 Ca 0.1669 0.2500 0.4377 x4
4 Ge 0.1234 0.7500 0.0982 x4
5 Br 0.1114 0.7500 0.4249 x4
6 Br 0.1268 0.7500 0.7446 x4

Record 11
Here is a relaxed BaSc2PdPt crystal from the Alexandria database. Energies are from PBE.

## Properties
E	-26.66	eV per formula unit
theoretical density	5.63	g/cm³
formation enthalpy at 0 K	-168	meV per atom
V	31.21	A^3/atom

Unit cell a=5.0388 b=5.0388 c=6.1453 alpha=90.00 beta=90.00 gamma=90.00
Space group P4/mmm (No. 123)
Unique sites:
1 Ba 0.0000 0.0000 0.0000 x1
2 Sc 0.0000 0.5000 0.5000 x2
3 Pd 0.5000 0.5000 0.0000 x1
4 Pt 0.0000 0.0000 0.5000 x1

Record 12
Here is a relaxed LaSmDy2Y5 crystal from the Alexandria database. Energies are from PBE.

## Properties
E	-48.82	eV per formula unit
theoretical density	5.87	g/cm³
formation enthalpy at 0 K	261	meV per atom
V	33.29	A^3/atom

Unit cell a=8.8662 b=8.8662 c=15.2458 alpha=90.00 beta=90.00 gamma=90.00
Space group I4/mcm (No. 140)
Unique sites:
1 La 0.0000 0.0000 0.2500 x4
2 Sm 0.0000 0.5000 0.2500 x4
3 Dy 0.1150 0.3850 0.0000 x8
4 Y 0.0000 0.0000 0.0000 x4
5 Y 0.2037 0.2963 0.3680 x16

Please write out number 7 again, unchanged.
Here is a relaxed PrErSbTe crystal from the Alexandria database. Energies are from PBE.

## Properties
E	-21.61	eV per formula unit
theoretical density	7.38	g/cm³
formation energy from raw total energies	-1.25	eV/atom
V	31.38	A^3/atom

Unit cell a=4.3533 b=4.3533 c=22.9444 alpha=90.00 beta=90.00 gamma=120.00
Space group R3m (No. 160, hexagonal axes)
Unique sites:
1 Pr 0.0000 0.0000 0.0000 x3
2 Er 0.0000 0.0000 0.1772 x3
3 Sb 0.0000 0.0000 0.5825 x3
4 Te 0.0000 0.0000 0.7606 x3